The following is a DFT calculation (PBE) of Ac3AuO after structural relaxation.

Unit cell a=5.2381 b=5.2381 c=5.2381 alpha=90.00 beta=90.00 gamma=90.00
Closest atoms and distances in Å follow each position.
Sites, in units of the cell vectors:
Ac1 0.0000 0.0000 0.5000  2 O 2.62
Ac2 0.0000 0.5000 0.0000  2 O 2.62
Ac3 0.5000 0.0000 0.0000  2 O 2.62
Au1 0.5000 0.5000 0.5000  12 Ac 3.70
O1 0.0000 0.0000 0.0000  6 Ac 2.62

Space group   Pm-3m, No. 221
Formation energy (no corrections)   -1.1922 eV per atom
Density of states at the Fermi level   4.273 states/eV/f.u.
Calculated total energy   -5.3044 eV per atom
ΔE to the lowest computed polymorph   85 meV per atom

=====

The following is a DFT calculation (PBE) of MnVGa after structural relaxation.

Unit cell a=2.8078 b=2.8078 c=11.9478 alpha=90.00 beta=90.00 gamma=120.00
Closest atoms and distances in Å follow each position.
Sites, in units of the cell vectors:
Mn1 0.3333 0.6667 0.0000  3 V 2.31
Mn2 0.6667 0.3333 0.5000  3 V 2.31
V1 0.0000 0.0000 0.3623  3 Mn 2.31
V2 0.0000 0.0000 0.8623  3 Mn 2.31
Ga1 0.3333 0.6667 0.6742  3 Mn 2.64, 3 V 2.77, 6 Ga 2.81
Ga2 0.6667 0.3333 0.1742  3 Mn 2.64, 3 V 2.77, 6 Ga 2.81

Space group   P6_3mc, No. 186
Density of states at the Fermi level   2.120 states/eV/f.u.
Calculated total energy   -7.0613 eV per atom
ΔE_f   0.044 eV per atom

=====

The following is a DFT calculation (PBE) of Y2VH after structural relaxation.

Unit cell a=4.9433 b=4.9433 c=4.9433 alpha=60.00 beta=60.00 gamma=60.00
Closest atoms and distances in Å follow each position.
Sites, in units of the cell vectors:
Y1 0.2500 0.2500 0.2500  4 H 3.03, 4 V 3.03
Y2 0.7500 0.7500 0.7500  4 H 3.03, 4 V 3.03
V1 0.0000 0.0000 0.0000  8 Y 3.03
H1 0.5000 0.5000 0.5000  8 Y 3.03

Space group   Fm-3m, No. 225
Density of states at the Fermi level   4.390 states/eV/f.u.
Calculated total energy   -5.7108 eV per atom
ΔE to the lowest computed polymorph   450 meV per atom

=====

The following is a DFT calculation (PBE) of TbCd4Hg2 after structural relaxation.

Unit cell a=5.4042 b=5.9938 c=6.2524 alpha=105.03 beta=99.23 gamma=109.93
Closest atoms and distances in Å follow each position.
Sites, in units of the cell vectors:
Tb1 0.0000 0.0000 0.0000  4 Hg 3.11-3.22, 6 Cd 3.28-3.47
Cd1 0.0287 0.5925 0.2796  2 Cd 2.89-2.99, 2 Hg 3.03-3.18
Cd2 0.5000 0.5000 0.0000  4 Cd 2.89-3.13, 2 Hg 3.00
Cd3 0.5000 0.5000 0.5000  6 Cd 2.99-3.31, 2 Hg 3.04
Cd4 0.9713 0.4075 0.7204  2 Cd 2.89-2.99, 2 Hg 3.03-3.18
Hg1 0.4296 0.9806 0.7271  4 Cd 3.00-3.18, 2 Hg 3.10-3.30, 2 Tb 3.11-3.22
Hg2 0.5704 0.0194 0.2729  4 Cd 3.00-3.18, 2 Hg 3.10-3.30, 2 Tb 3.11-3.22

Space group   P-1, No. 2
Density of states at the Fermi level   3.059 states/eV/f.u.
Calculated total energy   -1.3573 eV per atom
ΔE_f   -0.087 eV per atom
ΔE to the lowest computed polymorph   64 meV per atom

=====

calculated total energy of number 4 (TbCd4Hg2)?
-1.3573 eV per atom